Record 1
First-principles (GGA-PBE) data for SrSn6Hg12 after structural relaxation, as listed in Alexandria via LeMat-Bulk.

POSCAR file:
```
SrSn6Hg12
1.0
4.868 0.000 1.561
-3.336 9.722 4.825
-1.805 0.000 11.211
Hg Sn Sr
12 6 1
direct
0.186 0.061 0.576 Hg
0.754 0.278 0.913 Hg
0.667 0.913 0.809 Hg
0.876 0.637 0.939 Hg
0.814 0.939 0.424 Hg
0.333 0.087 0.191 Hg
0.239 0.424 0.637 Hg
0.246 0.722 0.087 Hg
0.761 0.576 0.363 Hg
0.476 0.809 0.278 Hg
0.524 0.191 0.722 Hg
0.124 0.363 0.061 Hg
0.328 0.786 0.680 Sn
0.457 0.465 0.214 Sn
0.008 0.680 0.535 Sn
0.672 0.214 0.320 Sn
0.543 0.535 0.786 Sn
0.992 0.320 0.465 Sn
0.000 0.000 0.000 Sr
```

space group: No. 148
energy relative to the elements: -0.0406 eV per atom



Record 2
First-principles (GGA-PBE) data for PHPt2 after structural relaxation, as listed in Alexandria via LeMat-Bulk.

POSCAR file:
```
PHPt2
1.0
4.843 0.000 0.000
0.000 4.843 0.000
2.421 2.421 4.719
H P Pt
2 2 4
direct
0.500 0.500 0.000 H
0.250 0.750 0.500 H
0.000 0.000 0.000 P
0.750 0.250 0.500 P
0.375 0.445 0.750 Pt
0.195 0.625 0.250 Pt
0.555 0.125 0.250 Pt
0.875 0.805 0.750 Pt
```

space group: No. 122
excess energy over the best structure of this formula in the dataset: 0 meV/atom



Record 3
First-principles (GGA-PBE) data for NaHgBi2 after structural relaxation, as listed in Alexandria via LeMat-Bulk.

POSCAR file:
```
NaHgBi2
1.0
5.910 0.000 0.000
2.955 5.118 0.000
2.955 1.706 5.560
Bi Na Hg
2 1 1
direct
0.170 0.170 0.490 Bi
0.830 0.830 0.510 Bi
0.500 0.500 0.500 Na
0.000 0.000 0.000 Hg
```

space group: No. 166
energy relative to the elements: 0.0203 eV per atom



Record 4
First-principles (GGA-PBE) data for YErGaAg after structural relaxation, as listed in Alexandria via LeMat-Bulk.

POSCAR file:
```
YErGaAg
1.0
-4.656 -1.079 1.766
-2.246 -4.396 -1.259
-0.612 -3.644 3.508
Ga Y Ag Er
1 1 1 1
direct
0.500 0.500 0.500 Ga
0.750 0.750 0.750 Y
0.000 0.000 0.000 Ag
0.250 0.250 0.250 Er
```

space group: No. 216
energy relative to the elements: -0.4758 eV per atom



Record 5
First-principles (GGA-PBE) data for CaMoW2 after structural relaxation, as listed in Alexandria via LeMat-Bulk.

POSCAR file:
```
CaMoW2
1.0
2.426 -3.816 -1.056
-0.957 -4.019 2.118
-2.013 -3.450 -2.367
W Ca Mo
2 1 1
direct
0.750 0.750 0.750 W
0.250 0.250 0.250 W
0.000 0.000 0.000 Ca
0.500 0.500 0.500 Mo
```

space group: No. 225
energy relative to the elements: 0.8971 eV per atom
excess energy over the best structure of this formula in the dataset: 377 meV/atom



Record 6
First-principles (GGA-PBE) data for TaCdTe2 after structural relaxation, as listed in Alexandria via LeMat-Bulk.

POSCAR file:
```
TaCdTe2
1.0
3.716 0.000 0.000
0.000 3.716 0.000
0.000 0.000 7.516
Cd Te Ta
1 2 1
direct
0.000 0.000 0.510 Cd
0.500 0.500 0.345 Te
0.000 0.000 0.916 Te
0.500 0.500 0.729 Ta
```

space group: No. 99
E_form (uncorrected): 0.202 eV/atom



Record 7
First-principles (GGA-PBE) data for MgTlHgPb after structural relaxation, as listed in Alexandria via LeMat-Bulk.

POSCAR file:
```
MgTlHgPb
1.0
-2.368 0.899 -2.350
-2.289 -2.110 1.499
-2.725 6.738 5.322
Mg Hg Pb Tl
1 1 1 1
direct
0.000 0.000 0.549 Mg
0.500 0.500 0.357 Hg
0.500 0.500 0.791 Pb
0.000 0.000 0.088 Tl
```

space group: No. 99
energy relative to the elements: -0.0594 eV per atom
excess energy over the best structure of this formula in the dataset: 0 meV/atom



Record 8
First-principles (GGA-PBE) data for ReWN2 after structural relaxation, as listed in Alexandria via LeMat-Bulk.

POSCAR file:
```
ReWN2
1.0
-0.149 4.038 0.436
-2.825 0.211 -2.914
-5.626 1.543 2.731
N Re W
4 2 2
direct
0.625 0.125 0.250 N
0.125 0.625 0.250 N
0.375 0.375 0.750 N
0.875 0.875 0.750 N
0.000 0.000 0.000 Re
0.750 0.250 0.500 Re
0.250 0.750 0.500 W
0.500 0.500 0.000 W
```

space group: No. 122
E_form (uncorrected): 0.160 eV/atom
excess energy over the best structure of this formula in the dataset: 15 meV/atom



Record 9
First-principles (GGA-PBE) data for La2Ce2Pd15 after structural relaxation, as listed in Alexandria via LeMat-Bulk.

POSCAR file:
```
La2Ce2Pd15
1.0
-3.442 6.219 -0.920
-2.992 0.605 6.484
4.775 4.395 3.042
Pd Ce La
15 2 2
direct
0.655 0.655 0.161 Pd
0.839 0.345 0.345 Pd
0.345 0.345 0.839 Pd
0.161 0.655 0.655 Pd
0.313 0.000 0.687 Pd
0.687 0.313 0.000 Pd
0.500 0.000 0.000 Pd
0.313 0.687 0.000 Pd
0.000 0.500 0.000 Pd
0.687 0.000 0.313 Pd
0.000 0.687 0.313 Pd
0.655 0.161 0.655 Pd
0.000 0.313 0.687 Pd
0.345 0.839 0.345 Pd
0.000 0.000 0.500 Pd
0.896 0.896 0.896 Ce
0.104 0.104 0.104 Ce
0.640 0.640 0.640 La
0.360 0.360 0.360 La
```

space group: No. 166
energy relative to the elements: -0.5883 eV per atom



Record 10
First-principles (GGA-PBE) data for TaRh2Au after structural relaxation, as listed in Alexandria via LeMat-Bulk.

POSCAR file:
```
TaRh2Au
1.0
4.949 -0.006 -0.027
1.863 4.584 0.027
-3.390 -2.312 2.766
Rh Ta Au
2 1 1
direct
0.000 0.000 0.000 Rh
0.750 0.250 0.500 Rh
0.500 0.500 0.000 Ta
0.250 0.750 0.500 Au
```

space group: No. 119
energy relative to the elements: -0.3526 eV per atom



Record 11
First-principles (GGA-PBE) data for K3SnPb after structural relaxation, as listed in Alexandria via LeMat-Bulk.

POSCAR file:
```
K3SnPb
1.0
6.696 0.000 0.000
0.000 6.696 0.000
0.000 0.000 6.696
Sn K Pb
1 3 1
direct
0.000 0.000 0.000 Sn
0.500 0.000 0.000 K
0.000 0.000 0.500 K
0.000 0.500 0.000 K
0.500 0.500 0.500 Pb
```

space group: No. 221
energy relative to the elements: 0.3237 eV per atom
excess energy over the best structure of this formula in the dataset: 514 meV/atom